## KFeMo2 (PBE)

Data for a relaxed structure of KFeMo2.

abc: 4.4758 4.4758 4.4758
angles: 60.00 60.00 60.00
With the nearest neighbours (Å) after each atom.
Element x y z (fractional)
K 0.0000 0.0000 0.0000  8 Mo 2.74
Fe 0.5000 0.5000 0.5000  8 Mo 2.74
Mo 0.2500 0.2500 0.2500  4 Fe 2.74, 4 K 2.74
Mo 0.7500 0.7500 0.7500  4 Fe 2.74, 4 K 2.74

Output
Formation enthalpy at 0 K (eV per atom): 1.681
Space group: Fm-3m, No. 225
E_tot (eV per atom): -6.125